Compound: SiBr3
Source: the Alexandria database
Functional: GGA-PBE
Structure: relaxed

Calculated values
symmetry: No. 44
magnetization: 0.00 μB/f.u.
uncorrected energy: -0.10670 hartree per atom
energy above the lowest structure with this stoichiometry: 461.2 meV per atom
ΔE_f (raw): -0.29 eV/atom
N(E_F): 0.98 states/eV per cell

a = 7.283 Å, b = 7.283 Å, c = 7.283 Å
α = 153.30°, β = 120.55°, γ = 66.31°
Sites, in units of the cell vectors:
Br1 0.181 0.110 0.071
Br2 0.462 0.390 0.071
Br3 0.732 0.250 0.482
Si1 0.458 0.750 0.708


Compound: TaAg2Br
Source: the Alexandria database
Functional: GGA-PBE
Structure: relaxed

Calculated values
symmetry: No. 65
magnetization: 0.00 μB/f.u.
uncorrected energy: -0.15808 hartree per atom
energy above the lowest structure with this stoichiometry: 293.8 meV per atom
ΔE_f (raw): 0.51 eV/atom
N(E_F): 1.77 states/eV per cell

a = 6.105 Å, b = 5.622 Å, c = 2.975 Å
α = 90.00°, β = 60.83°, γ = 114.45°
Sites, in units of the cell vectors:
Ag1 0.000 0.000 0.000
Ag2 0.500 0.000 0.500
Br1 0.000 0.500 0.500
Ta1 0.500 0.500 0.000


Compound: Sc2InF
Source: the Alexandria database
Functional: GGA-PBE
Structure: relaxed

Calculated values
symmetry: No. 166
magnetization: 0.00 μB/f.u.
uncorrected energy: -0.20511 hartree per atom
energy above the lowest structure with this stoichiometry: 0.0 meV per atom
ΔE_f (raw): -1.26 eV/atom
N(E_F): 1.66 states/eV per cell

a = 9.176 Å, b = 9.176 Å, c = 9.176 Å
α = 21.04°, β = 21.04°, γ = 21.04°
Sites, in units of the cell vectors:
Sc1 0.925 0.925 0.925
Sc2 0.075 0.075 0.075
F1 0.000 0.000 0.000
In1 0.500 0.500 0.500


Compound: Nb2RuRh2
Source: the Alexandria database
Functional: GGA-PBE
Structure: relaxed

Calculated values
symmetry: No. 127
magnetization: 0.00 μB/f.u.
uncorrected energy: -0.32477 hartree per atom
energy above the lowest structure with this stoichiometry: 300.7 meV per atom
N(E_F): 7.30 states/eV per cell

a = 3.210 Å, b = 7.202 Å, c = 7.202 Å
α = 90.00°, β = 90.00°, γ = 90.00°
Sites, in units of the cell vectors:
Nb1 0.000 0.836 0.336
Nb2 0.000 0.336 0.164
Nb3 0.000 0.164 0.664
Nb4 0.000 0.664 0.836
Ru1 0.000 0.000 0.000
Ru2 0.000 0.500 0.500
Rh1 0.500 0.362 0.862
Rh2 0.500 0.862 0.638
Rh3 0.500 0.638 0.138
Rh4 0.500 0.138 0.362


Compound: ZnTcSe2
Source: the Alexandria database
Functional: GGA-PBE
Structure: relaxed

Calculated values
symmetry: No. 8
magnetization: 0.00 μB/f.u.
uncorrected energy: -0.17977 hartree per atom
energy above the lowest structure with this stoichiometry: 40.8 meV per atom
ΔE_f (raw): -0.24 eV/atom
N(E_F): 6.40 states/eV per cell

a = 8.731 Å, b = 3.684 Å, c = 12.916 Å
α = 90.00°, β = 127.32°, γ = 90.00°
Sites, in units of the cell vectors:
Zn1 0.757 0.000 0.977
Zn2 0.757 0.500 0.477
Zn3 0.711 0.000 0.745
Zn4 0.711 0.500 0.245
Tc1 0.070 0.000 0.975
Tc2 0.070 0.500 0.475
Tc3 0.353 0.000 0.536
Tc4 0.353 0.500 0.036
Se1 0.462 0.000 0.953
Se2 0.462 0.500 0.453
Se3 0.024 0.000 0.328
Se4 0.024 0.500 0.828
Se5 0.395 0.000 0.182
Se6 0.395 0.500 0.682
Se7 0.995 0.000 0.593
Se8 0.995 0.500 0.093


Compound: Pm4Sm7Y
Source: the Alexandria database
Functional: GGA-PBE
Structure: relaxed

Calculated values
symmetry: No. 12
magnetization: 0.00 μB/f.u.
uncorrected energy: -0.16987 hartree per atom
energy above the lowest structure with this stoichiometry: 171.2 meV per atom
N(E_F): 18.95 states/eV per cell

a = 6.054 Å, b = 11.780 Å, c = 6.799 Å
α = 83.67°, β = 63.56°, γ = 75.11°
Sites, in units of the cell vectors:
Pm1 0.640 0.222 0.497
Pm2 0.360 0.778 0.503
Pm3 0.764 0.675 0.798
Pm4 0.236 0.325 0.202
Sm1 0.787 0.922 0.504
Sm2 0.213 0.078 0.496
Sm3 0.064 0.681 0.192
Sm4 0.936 0.319 0.808
Sm5 0.369 0.499 0.762
Sm6 0.500 0.000 0.000
Sm7 0.631 0.501 0.238
Y1 0.000 0.000 0.000


Compound: AcCeTeSe
Source: the Alexandria database
Functional: GGA-PBE
Structure: relaxed

Calculated values
symmetry: No. 216
magnetization: 2.06 μB/f.u.
uncorrected energy: -0.20440 hartree per atom
energy above the lowest structure with this stoichiometry: 0.0 meV per atom
ΔE_f (raw): -1.39 eV/atom
N(E_F): 7.73 states/eV per cell

a = 5.484 Å, b = 5.484 Å, c = 5.484 Å
α = 60.00°, β = 60.00°, γ = 60.00°
Sites, in units of the cell vectors:
Ac1 0.500 0.500 0.500
Te1 0.750 0.750 0.750
Se1 0.250 0.250 0.250
Ce1 0.000 0.000 0.000


Compound: RbNpTl2O8
Source: the Alexandria database
Functional: GGA-PBE
Structure: relaxed

Calculated values
symmetry: No. 2
magnetization: 0.05 μB/f.u.
uncorrected energy: -0.22730 hartree per atom
ΔE_f (raw): -1.33 eV/atom

a = 5.696 Å, b = 4.930 Å, c = 8.437 Å
α = 65.33°, β = 89.72°, γ = 89.63°
Sites, in units of the cell vectors:
Rb1 0.000 0.000 0.500
Np1 0.000 0.000 0.000
Tl1 0.519 0.579 0.798
Tl2 0.481 0.421 0.202
O1 0.137 0.662 0.207
O2 0.674 0.740 0.987
O3 0.832 0.101 0.160
O4 0.863 0.338 0.793
O5 0.326 0.260 0.013
O6 0.168 0.899 0.840
O7 0.503 0.841 0.517
O8 0.497 0.159 0.483


Compound: SrBePdCl2
Source: the Alexandria database
Functional: GGA-PBE
Structure: relaxed

Calculated values
symmetry: No. 123
magnetization: 0.00 μB/f.u.
uncorrected energy: -0.11983 hartree per atom
ΔE_f (raw): -0.40 eV/atom
N(E_F): 0.09 states/eV per cell

a = 4.262 Å, b = 10.699 Å, c = 4.262 Å
α = 90.00°, β = 90.00°, γ = 90.00°
Sites, in units of the cell vectors:
Sr1 0.000 0.500 0.000
Be1 0.000 0.000 0.000
Pd1 0.500 0.500 0.500
Cl1 0.000 0.000 0.500
Cl2 0.500 0.000 0.000


Compound: Dy2CoMo
Source: the Alexandria database
Functional: GGA-PBE
Structure: relaxed

Calculated values
symmetry: No. 166
magnetization: 0.00 μB/f.u.
uncorrected energy: -0.22205 hartree per atom
N(E_F): 4.99 states/eV per cell

a = 3.173 Å, b = 3.173 Å, c = 9.805 Å
α = 80.69°, β = 80.69°, γ = 60.00°
Sites, in units of the cell vectors:
Mo1 0.000 0.000 0.000
Co1 0.500 0.500 0.500
Dy1 0.098 0.098 0.706
Dy2 0.902 0.902 0.294


Compound: Li2VPbCl8
Source: the Alexandria database
Functional: GGA-PBE
Structure: relaxed

Calculated values
symmetry: No. 2
magnetization: 1.00 μB/f.u.
uncorrected energy: -0.14474 hartree per atom
ΔE_f (raw): -1.32 eV/atom
N(E_F): 5.59 states/eV per cell

a = 6.343 Å, b = 6.712 Å, c = 8.140 Å
α = 69.86°, β = 90.92°, γ = 99.81°
Sites, in units of the cell vectors:
Li1 0.537 0.341 0.687
Li2 0.463 0.659 0.313
V1 0.000 0.000 0.000
Pb1 0.000 0.000 0.500
Cl1 0.105 0.766 0.273
Cl2 0.671 0.782 0.039
Cl3 0.874 0.203 0.144
Cl4 0.895 0.234 0.727
Cl5 0.329 0.218 0.961
Cl6 0.126 0.797 0.856
Cl7 0.593 0.723 0.566
Cl8 0.407 0.277 0.434


Compound: Th3CoPt
Source: the Alexandria database
Functional: GGA-PBE
Structure: relaxed

Calculated values
symmetry: No. 11
magnetization: 0.00 μB/f.u.
uncorrected energy: -0.28129 hartree per atom
energy above the lowest structure with this stoichiometry: 0.0 meV per atom
N(E_F): 13.43 states/eV per cell

a = 3.906 Å, b = 6.511 Å, c = 10.710 Å
α = 90.01°, β = 90.00°, γ = 107.43°
Sites, in units of the cell vectors:
Th1 0.863 0.727 0.572
Th2 0.137 0.273 0.428
Th3 0.137 0.273 0.072
Th4 0.863 0.727 0.928
Th5 0.426 0.849 0.250
Th6 0.574 0.151 0.750
Co1 0.500 0.000 0.000
Co2 0.500 0.000 0.500
Pt1 0.747 0.492 0.250
Pt2 0.253 0.508 0.750


- Look up the uncorrected energy of the second one.
  -0.15808 hartree per atom